Here is a relaxed structure of PmCo2GeO6 from Alexandria via LeMat-Bulk. Energies are from PBE with a Hubbard U.

POSCAR file:
```
PmCo2GeO6
1.0
5.2559 0.0000 0.0000
-2.6242 4.5748 0.0000
-0.0040 -3.0386 4.5520
Pm Co Ge O
1 2 1 6
Cartesian
0.0000 0.0000 0.0000
-0.0110 -0.0032 3.7816
2.6155 1.5131 1.5145
-0.0072 3.0449 1.9635
-1.3916 2.7713 0.5596
-0.8789 1.5066 2.7471
0.9217 1.9763 0.5658
1.7237 -0.0019 2.7392
3.0871 -0.1985 0.5496
4.3911 -1.5096 2.7413
```

Output
Symmetry   P1, No. 1
V   10.9 Å³ per atom
Spin magnetization   0.30 μB per atom
Uncorrected energy   -6.639 eV/atom